Record 1
A relaxed structure of SrScAl2Fe, computed with PBE.

Cell: 4.760 4.760 4.726 Å, 90.00 90.00 90.00°
Sites, in units of the cell vectors:
1 Sc 0.000 0.000 0.500
2 Sr 0.500 0.500 0.500
3 Fe 0.000 0.000 0.000
4 Al 0.000 0.500 0.000
5 Al 0.500 0.000 0.000

Results
* volume: 21.41 Å³/atom
* density of states at the Fermi level: 3.323 states/eV/cell
* energy of formation from the pure elements: -16.5 kJ per mole of atoms

=====

Record 2
A relaxed structure of Sc2Al5FeTc2, computed with PBE.

Cell: 2.840 10.778 10.778 Å, 90.00 90.00 90.00°
Sites, in units of the cell vectors:
1 Sc 0.000 0.681 0.181
2 Sc 0.000 0.319 0.819
3 Sc 0.000 0.181 0.319
4 Sc 0.000 0.819 0.681
5 Al 0.500 0.178 0.052
6 Al 0.500 0.822 0.948
7 Al 0.500 0.052 0.822
8 Al 0.500 0.678 0.448
9 Al 0.500 0.948 0.178
10 Al 0.500 0.322 0.552
11 Al 0.500 0.552 0.678
12 Al 0.500 0.448 0.322
13 Al 0.500 0.500 0.000
14 Al 0.500 0.000 0.500
15 Fe 0.000 0.000 0.000
16 Fe 0.000 0.500 0.500
17 Tc 0.000 0.138 0.638
18 Tc 0.000 0.862 0.362
19 Tc 0.000 0.638 0.862
20 Tc 0.000 0.362 0.138

Results
* volume: 16.50 Å³/atom
* density of states at the Fermi level: 17.420 states/eV/cell
* energy of formation from the pure elements: -23.4 kJ per mole of atoms

=====

Record 3
A relaxed structure of Th2ScAl12Fe3, computed with PBE.

Cell: 7.878 7.878 7.878 Å, 64.43 64.43 64.43°
Site moments in Bohr magnetons follow the coordinates.
Sites, in units of the cell vectors:
1 Th 0.582 0.582 0.582  0.05
2 Th 0.418 0.418 0.418  0.05
3 Sc 0.000 0.000 0.000  -0.01
4 Al 0.268 0.268 0.898  0.00
5 Al 0.839 0.839 0.466  0.00
6 Al 0.466 0.839 0.839  0.00
7 Al 0.898 0.268 0.268  0.00
8 Al 0.839 0.466 0.839  0.00
9 Al 0.268 0.898 0.268  0.00
10 Al 0.732 0.732 0.102  0.00
11 Al 0.161 0.161 0.534  0.00
12 Al 0.534 0.161 0.161  0.00
13 Al 0.102 0.732 0.732  0.00
14 Al 0.161 0.534 0.161  0.00
15 Al 0.732 0.102 0.732  0.00
16 Fe 0.500 0.000 0.000  0.16
17 Fe 0.000 0.500 0.000  0.16
18 Fe 0.000 0.000 0.500  0.16

Results
* volume: 21.08 Å³/atom
* density of states at the Fermi level: 16.718 states/eV/cell
* energy of formation from the pure elements: 22.3 kJ per mole of atoms

=====

Record 4
A relaxed structure of TmScAlFe, computed with PBE.

Cell: 4.760 4.760 4.760 Å, 60.00 60.00 60.00°
Site moments in Bohr magnetons follow the coordinates.
Sites, in units of the cell vectors:
1 Sc 0.000 0.000 0.000  -0.23
2 Tm 0.500 0.500 0.500  -0.19
3 Fe 0.250 0.250 0.250  1.32
4 Al 0.750 0.750 0.750  -0.01

Results
* volume: 19.06 Å³/atom
* density of states at the Fermi level: 3.834 states/eV/cell
* energy of formation from the pure elements: -15.2 kJ per mole of atoms

=====

Record 5
A relaxed structure of ScAlFe2W, computed with PBE.

Cell: 4.315 4.824 4.315 Å, 90.00 90.00 90.00°
Site moments in Bohr magnetons follow the coordinates.
Sites, in units of the cell vectors:
1 Sc 0.000 0.000 0.000  -0.34
2 Fe 0.000 0.000 0.500  2.08
3 Fe 0.500 0.000 0.000  2.20
4 W 0.000 0.500 0.000  0.02
5 Al 0.500 0.500 0.500  -0.01

Results
* volume: 17.97 Å³/atom
* density of states at the Fermi level: 3.120 states/eV/cell
* energy of formation from the pure elements: 158.1 kJ per mole of atoms

=====

Record 6
A relaxed structure of ScAlZnFe, computed with PBE.

Cell: 4.407 4.407 4.407 Å, 60.00 60.00 60.00°
Site moments in Bohr magnetons follow the coordinates.
Sites, in units of the cell vectors:
1 Sc 0.250 0.250 0.250  -0.08
2 Zn 0.000 0.000 0.000  -0.01
3 Fe 0.500 0.500 0.500  1.41
4 Al 0.750 0.750 0.750  -0.01

Results
* volume: 15.14 Å³/atom
* density of states at the Fermi level: 4.540 states/eV/cell
* energy of formation from the pure elements: -18.2 kJ per mole of atoms

=====

Record 7
A relaxed structure of Sc2Al5ZnFe2, computed with PBE.

Cell: 4.024 8.967 8.967 Å, 90.00 90.00 90.00°
Site moments in Bohr magnetons follow the coordinates.
Sites, in units of the cell vectors:
1 Sc 0.000 0.683 0.183  -0.07
2 Sc 0.000 0.317 0.817  -0.07
3 Sc 0.000 0.183 0.317  -0.07
4 Sc 0.000 0.817 0.683  -0.07
5 Al 0.500 0.213 0.065  -0.01
6 Al 0.500 0.787 0.935  -0.01
7 Al 0.500 0.065 0.787  -0.01
8 Al 0.500 0.713 0.435  -0.01
9 Al 0.500 0.935 0.213  -0.01
10 Al 0.500 0.287 0.565  -0.01
11 Al 0.500 0.565 0.713  -0.01
12 Al 0.500 0.435 0.287  -0.01
13 Al 0.500 0.500 0.000  -0.02
14 Al 0.500 0.000 0.500  -0.02
15 Zn 0.000 0.000 0.000  0.01
16 Zn 0.000 0.500 0.500  0.01
17 Fe 0.000 0.105 0.605  1.15
18 Fe 0.000 0.895 0.395  1.15
19 Fe 0.000 0.605 0.895  1.15
20 Fe 0.000 0.395 0.105  1.15

Results
* volume: 16.18 Å³/atom
* density of states at the Fermi level: 14.685 states/eV/cell
* energy of formation from the pure elements: -28.5 kJ per mole of atoms

=====

Record 8
A relaxed structure of Zr2ScAlFe, computed with PBE.

Cell: 5.086 4.250 5.086 Å, 90.00 90.00 90.00°
Sites, in units of the cell vectors:
1 Sc 0.500 0.500 0.500
2 Fe 0.000 0.500 0.000
3 Zr 0.000 0.000 0.500
4 Zr 0.500 0.000 0.000
5 Al 0.000 0.000 0.000

Results
* volume: 21.99 Å³/atom
* density of states at the Fermi level: 9.070 states/eV/cell
* energy of formation from the pure elements: 62.6 kJ per mole of atoms

=====

Record 9
A relaxed structure of Al2FeSe, computed with PBE.

Cell: 4.031 3.310 4.809 Å, 69.84 90.00 90.00°
Sites, in units of the cell vectors:
1 Fe 0.000 0.698 0.479
2 Se 0.500 0.555 0.765
3 Al 0.000 0.967 0.940
4 Al 0.500 0.280 0.316

Results
* volume: 15.06 Å³/atom
* density of states at the Fermi level: 1.069 states/eV/cell
* E_form (uncorrected): -0.309 eV per formula unit

=====

Record 10
A relaxed structure of AlFe2Se, computed with PBE.

Cell: 7.696 7.696 7.696 Å, 22.74 22.74 22.74°
Site moments in Bohr magnetons follow the coordinates.
Sites, in units of the cell vectors:
1 Fe 0.005 0.005 0.005  2.38
2 Fe 0.748 0.748 0.748  2.40
3 Se 0.490 0.490 0.490  -0.04
4 Al 0.257 0.257 0.257  -0.03

Results
* volume: 14.94 Å³/atom
* density of states at the Fermi level: 1.588 states/eV/cell
* energy above the lowest structure with this stoichiometry: 0.135 eV per atom
* E_form (uncorrected): 0.405 eV per formula unit

=====

Record 11
A relaxed structure of Al3FeSe, computed with PBE.

Cell: 4.565 4.565 4.565 Å, 90.00 90.00 90.00°
Site moments in Bohr magnetons follow the coordinates.
Sites, in units of the cell vectors:
1 Fe 0.000 0.000 0.000  0.75
2 Se 0.500 0.500 0.500  0.17
3 Al 0.000 0.500 0.000  0.01
4 Al 0.000 0.000 0.500  0.00
5 Al 0.500 0.000 0.000  0.00

Results
* volume: 19.03 Å³/atom
* density of states at the Fermi level: 3.998 states/eV/cell
* energy above the lowest structure with this stoichiometry: 0.000 eV per atom
* E_form (uncorrected): 1.021 eV per formula unit

=====

Record 12
A relaxed structure of AlFeSe3, computed with PBE.

Cell: 4.859 4.859 4.859 Å, 90.00 90.00 90.00°
Site moments in Bohr magnetons follow the coordinates.
Sites, in units of the cell vectors:
1 Fe 0.500 0.500 0.500  3.40
2 Se 0.000 0.500 0.000  0.06
3 Se 0.000 0.000 0.500  0.07
4 Se 0.500 0.000 0.000  0.02
5 Al 0.000 0.000 0.000  0.00

Results
* volume: 22.95 Å³/atom
* density of states at the Fermi level: 13.491 states/eV/cell
* energy above the lowest structure with this stoichiometry: 0.092 eV per atom
* E_form (uncorrected): 2.264 eV per formula unit

=====

Record 13
A relaxed structure of AlFe2Se, computed with PBE.

Cell: 3.235 3.235 5.287 Å, 90.00 90.00 90.00°
Site moments in Bohr magnetons follow the coordinates.
Sites, in units of the cell vectors:
1 Fe 0.000 0.000 0.989  2.24
2 Fe 0.500 0.500 0.257  2.50
3 Se 0.000 0.000 0.475  0.06
4 Al 0.500 0.500 0.779  -0.05

Results
* volume: 13.84 Å³/atom
* density of states at the Fermi level: 1.844 states/eV/cell
* energy above the lowest structure with this stoichiometry: 0.000 eV per atom
* E_form (uncorrected): -0.135 eV per formula unit